Record 1
VASP calculation (PBE) on crystalline Pm3Cu4Ge4 at its relaxed geometry.

Its offset from the most stable computed form is 0.00 eV per formula unit. As for the total energy: -5.08 eV/atom. The energy relative to the elements is -618 meV per atom.

abc: 8.174 8.174 8.174
angles: 149.49 131.37 58.50
Fractional positions:
Pm1 0.000 0.000 0.000
Pm2 0.368 0.868 0.500
Pm3 0.632 0.132 0.500
Cu1 0.019 0.333 0.686
Cu2 0.353 0.667 0.686
Cu3 0.647 0.333 0.314
Cu4 0.981 0.667 0.314
Ge1 0.217 0.217 0.000
Ge2 0.311 0.500 0.811
Ge3 0.689 0.500 0.189
Ge4 0.783 0.783 0.000

Record 2
VASP calculation (PBE) on crystalline PmCu4Ge3 at its relaxed geometry.

As for the total energy: -4.67 eV/atom. The energy relative to the elements is -293 meV per atom.

abc: 4.167 4.167 7.716
angles: 90.00 90.00 90.00
Fractional positions:
Pm1 0.000 0.000 0.000
Cu1 0.000 0.500 0.325
Cu2 0.000 0.500 0.675
Cu3 0.500 0.000 0.325
Cu4 0.500 0.000 0.675
Ge1 0.000 0.000 0.500
Ge2 0.500 0.500 0.160
Ge3 0.500 0.500 0.840

Record 3
VASP calculation (PBE) on crystalline Pm2Cu5Ge3 at its relaxed geometry.

Its offset from the most stable computed form is 0.00 eV per formula unit. As for the total energy: -4.83 eV/atom. The energy relative to the elements is -445 meV per atom.

abc: 8.259 8.259 8.259
angles: 106.21 88.85 137.81
Fractional positions:
Pm1 0.125 0.245 0.370
Pm2 0.375 0.745 0.120
Pm3 0.625 0.255 0.880
Pm4 0.875 0.755 0.630
Cu1 0.011 0.750 0.261
Cu2 0.127 0.878 0.005
Cu3 0.250 0.750 0.500
Cu4 0.373 0.378 0.751
Cu5 0.489 0.750 0.739
Cu6 0.511 0.250 0.261
Cu7 0.627 0.622 0.249
Cu8 0.750 0.250 0.500
Cu9 0.873 0.122 0.995
Cu10 0.989 0.250 0.739
Ge1 0.125 0.639 0.764
Ge2 0.250 0.250 0.000
Ge3 0.375 0.139 0.514
Ge4 0.625 0.861 0.486
Ge5 0.750 0.750 0.000
Ge6 0.875 0.361 0.236

Record 4
VASP calculation (PBE) on crystalline Pm2Cu5Ge4 at its relaxed geometry.

As for the total energy: -4.71 eV/atom. The energy relative to the elements is -300 meV per atom.

abc: 8.598 7.719 5.531
angles: 79.03 61.81 39.16
Fractional positions:
Pm1 0.144 0.144 0.856
Pm2 0.856 0.856 0.144
Cu1 0.000 0.000 0.500
Cu2 0.250 0.250 0.250
Cu3 0.500 0.500 0.000
Cu4 0.500 0.500 0.500
Cu5 0.750 0.750 0.750
Ge1 0.221 0.505 0.495
Ge2 0.495 0.779 0.221
Ge3 0.505 0.221 0.779
Ge4 0.779 0.495 0.505

Record 5
VASP calculation (PBE) on crystalline PmCu2Ge at its relaxed geometry.

As for the total energy: -4.73 eV/atom. The energy relative to the elements is -338 meV per atom.

abc: 4.018 4.018 9.329
angles: 90.00 90.00 90.00
Fractional positions:
Pm1 0.250 0.250 0.236
Pm2 0.750 0.750 0.764
Cu1 0.250 0.250 0.926
Cu2 0.250 0.750 0.500
Cu3 0.750 0.250 0.500
Cu4 0.750 0.750 0.074
Ge1 0.250 0.250 0.655
Ge2 0.750 0.750 0.345

Record 6
VASP calculation (PBE) on crystalline Pm8CuGe2 at its relaxed geometry.

As for the total energy: -4.97 eV/atom. The energy relative to the elements is -306 meV per atom.

abc: 9.880 9.880 6.873
angles: 103.36 103.36 28.72
Fractional positions:
Pm1 0.021 0.021 0.285
Pm2 0.214 0.214 0.828
Pm3 0.343 0.343 0.505
Pm4 0.406 0.406 0.021
Pm5 0.594 0.594 0.979
Pm6 0.657 0.657 0.495
Pm7 0.786 0.786 0.172
Pm8 0.979 0.979 0.715
Cu1 0.500 0.500 0.500
Ge1 0.182 0.182 0.252
Ge2 0.818 0.818 0.748